First-principles (PBE) data for a relaxed Ba2ZrSe3S crystal, as listed in Alexandria via LeMat-Bulk.

The value obtained for the energy relative to the elements, uncorrected is -1.795 eV per atom.

Cell: 9.0483 9.0483 9.0483 Å, 147.83 146.39 47.21°
Sites, in units of the cell vectors:
Ba  0.1405  0.1405  0.0000
Ba  0.8595  0.8595  0.0000
Zr  0.5000  0.5000  0.0000
Se  0.0000  0.5000  0.5000
Se  0.3352  0.3352  0.0000
Se  0.6648  0.6648  0.0000
S  0.5000  0.0000  0.5000